[1]
AlAsP after structural relaxation. Source: the Alexandria database, functional PBE.

distance to the lowest polymorph of the same formula: 225 meV per atom
crystal system: orthorhombic
ΔH_f (0 K): 0.263 eV per atom
raw total energy: -52.05 eV/cell

Lattice parameters (Å, degrees): 3.862 4.941 11.043 90.00 90.00 90.00
Space group Fmm2 (No. 42)
Symmetry-distinct sites (fractional):
Al: 0.000 0.000 0.000
As: 0.000 0.000 0.667
P: 0.000 0.000 0.368

***

[2]
TiCo2Hg2 after structural relaxation. Source: the Alexandria database, functional PBE.

crystal system: tetragonal
ΔH_f (0 K): 0.173 eV per atom
raw total energy: -43.69 eV/cell

Lattice parameters (Å, degrees): 6.210 6.210 4.145 90.00 90.00 90.00
Space group P4/mbm (No. 127)
Symmetry-distinct sites (fractional):
Ti: 0.000 0.000 0.000
Co: 0.130 0.370 0.000
Hg: 0.176 0.676 0.500

***

[3]
Pm6Nd3Sm2 after structural relaxation. Source: the Alexandria database, functional PBE.

distance to the lowest polymorph of the same formula: 249 meV per atom
crystal system: tetragonal
ΔH_f (0 K): 0.260 eV per atom
raw total energy: -98.78 eV/cell

Lattice parameters (Å, degrees): 4.852 4.852 33.828 90.00 90.00 90.00
Space group I4/mmm (No. 139)
Symmetry-distinct sites (fractional):
Pm: 0.000 0.000 0.197
Pm: 0.000 0.500 0.120
Nd: 0.000 0.000 0.299
Nd: 0.000 0.000 0.500
Sm: 0.000 0.000 0.045

***

[4]
AlAsF2 after structural relaxation. Source: the Alexandria database, functional PBE.

distance to the lowest polymorph of the same formula: 0 meV per atom
crystal system: cubic
energy relative to the elements, uncorrected: -1.580 eV/atom
raw total energy: -147.64 eV/cell

Lattice parameters (Å, degrees): 8.090 8.090 8.090 90.00 90.00 90.00
Space group Fd-3m (No. 227, origin choice 2)
Symmetry-distinct sites (fractional):
Al: 0.125 0.125 0.125
As: 0.125 0.125 0.625
F: 0.000 0.000 0.000

***

[5]
LiCo2SbH after structural relaxation. Source: the Alexandria database, functional PBE.

crystal system: tetragonal
raw total energy: -24.38 eV/cell

Lattice parameters (Å, degrees): 3.798 3.798 3.671 90.00 90.00 90.00
Space group P4/mmm (No. 123)
Symmetry-distinct sites (fractional):
Li: 0.000 0.000 0.000
Co: 0.000 0.500 0.500
Sb: 0.500 0.500 0.000
H: 0.000 0.000 0.500

***

[6]
TbTmCdCu after structural relaxation. Source: the Alexandria database, functional PBE.

distance to the lowest polymorph of the same formula: 0 meV per atom
crystal system: tetragonal
ΔH_f (0 K): -0.280 eV per atom
raw total energy: -15.23 eV/cell

Lattice parameters (Å, degrees): 3.482 3.482 7.661 90.00 90.00 90.00
Space group P4mm (No. 99)
Symmetry-distinct sites (fractional):
Tb: 0.000 0.000 0.000
Tm: 0.000 0.000 0.558
Cd: 0.500 0.500 0.285
Cu: 0.500 0.500 0.768

***

[7]
RePBr2 after structural relaxation. Source: the Alexandria database, functional PBE.

distance to the lowest polymorph of the same formula: 0 meV per atom
crystal system: monoclinic
energy relative to the elements, uncorrected: -0.001 eV/atom
raw total energy: -42.41 eV/cell

Lattice parameters (Å, degrees): 5.904 3.408 9.071 90.00 90.94 90.00
Space group Cm (No. 8)
Symmetry-distinct sites (fractional):
Re: 0.000 0.000 0.000
P: 0.163 0.500 0.860
Br: 0.157 0.500 0.616
Br: 0.339 0.000 0.217

***

[8]
Cs2Pu2HfSe6 after structural relaxation. Source: the Alexandria database, functional PBE.

crystal system: monoclinic
energy relative to the elements, uncorrected: -1.429 eV/atom
raw total energy: -153.91 eV/cell

Lattice parameters (Å, degrees): 7.189 12.359 8.898 90.00 106.08 90.00
Space group C2/m (No. 12)
Symmetry-distinct sites (fractional):
Cs: 0.000 0.170 0.000
Pu: 0.000 0.333 0.500
Hf: 0.000 0.000 0.500
Se: 0.220 0.156 0.680
Se: 0.249 0.500 0.679

***

[9]
Tb3Mg7Ag2 after structural relaxation. Source: the Alexandria database, functional PBE.

crystal system: trigonal
ΔH_f (0 K): -0.118 eV per atom
raw total energy: -96.52 eV/cell

Lattice parameters (Å, degrees): 5.9207 5.9207 28.5961 90.00 90.00 120.00
Space group R-3m (No. 166, hexagonal axes)
Symmetry-distinct sites (fractional):
Tb: 0.0000 0.0000 0.0000
Tb: 0.0000 0.0000 0.1445
Mg: 0.0000 0.0000 0.5000
Mg: 0.0034 0.5017 0.9207
Ag: 0.0000 0.0000 0.3339

***

[10]
KAsRuBr2 after structural relaxation. Source: the Alexandria database, functional PBE.

distance to the lowest polymorph of the same formula: 0 meV per atom
crystal system: tetragonal
energy relative to the elements, uncorrected: -0.372 eV/atom
raw total energy: -20.23 eV/cell

Lattice parameters (Å, degrees): 5.454 5.454 4.628 90.00 90.00 90.00
Space group P4/mmm (No. 123)
Symmetry-distinct sites (fractional):
K: 0.000 0.000 0.000
As: 0.500 0.500 0.000
Ru: 0.500 0.500 0.500
Br: 0.000 0.500 0.500